Zn2AgCl: relaxed, PBEsol.

Structure (extended XYZ):
```
4
Lattice="3.224 0.000 0.000 1.612 4.438 0.021 1.612 0.381 5.685" Properties=species:S:1:pos:R:3 pbc="T T T"
Zn 3.224 2.962 4.772
Zn 3.224 1.856 0.933
Ag 1.612 0.000 0.000
Cl 1.612 2.409 2.853
```

- ΔE_f (raw): -0.098 eV/atom
- SG: No. 12
- Fermi-level density of states: 0.9 states/eV/f.u.
- Total magnetic moment: 0.00 μB per cell
- Energy above the most stable polymorph in this dataset: 22.2 meV per atom